# Cs2KTe

Crystalline Cs2KTe at its relaxed geometry (PBE, Alexandria).

The space group is R3m (No. 160, hexagonal axes) and the conventional cell measures 6.1329, 6.1329 and 28.8587 Å, with angles of 90.00, 90.00 and 120.00 degrees. The asymmetric unit holds Cs at (0.0000, 0.0000, 0.0000), Cs at (0.0000, 0.0000, 0.2354), K at (0.0000, 0.0000, 0.4833) and Te at (0.0000, 0.0000, 0.6059).

Its uncorrected formation energy is -0.66 eV/atom. The magnetic moment is 0.00 μB/f.u. Its density of states at the Fermi level is 4.8 states/eV per cell. For the excess energy over the best structure of this formula in the dataset, the calculation gives 0 meV per atom.

=====

# Cd8SbPd6

Crystalline Cd8SbPd6 at its relaxed geometry (PBE, Alexandria).

The space group is R-3 (No. 148, hexagonal axes) and the conventional cell measures 7.9402, 7.9402 and 16.8056 Å, with angles of 90.00, 90.00 and 120.00 degrees. The asymmetric unit holds Cd at (0.0000, 0.0000, 0.1677), Cd at (0.0039, 0.3505, 0.3804), Sb at (0.0000, 0.0000, 0.5000) and Pd at (0.0008, 0.3244, 0.5485).

Its uncorrected formation energy is -0.31 eV/atom. The magnetic moment is 0.00 μB/f.u. Its density of states at the Fermi level is 17.8 states/eV per cell.

=====

- Look up the magnetic moment of the first one.
  0.00 μB/f.u.

=====

- What is the magnetic moment in the second record?
  0.00 μB/f.u.

=====

- What is the magnetic moment in the second record?
  0.00 μB/f.u.

=====

- magnetic moment of number 1 (Cs2KTe)?
  0.00 μB/f.u.